The following is a DFT calculation (PBE) of crystalline MgZrTeC2 at its relaxed geometry.

Cell: 4.1404 4.1404 5.5765 Å, 90.00 90.00 90.00°
Sites, in units of the cell vectors:
1 Mg 0.0000 0.0000 0.0000
2 Zr 0.0000 0.0000 0.5000
3 Te 0.5000 0.5000 0.5000
4 C 0.0000 0.5000 0.0000
5 C 0.5000 0.0000 0.0000

Summary:
* ΔE_f (raw): 1838 meV/atom


The following is a DFT calculation (PBE) of crystalline Rb2UTe4Pb at its relaxed geometry.

Cell: 8.1518 4.6566 8.8370 Å, 90.00 107.23 90.00°
Sites, in units of the cell vectors:
1 Rb 0.0000 0.0000 0.0000
2 Rb 0.5000 0.5000 0.0000
3 U 0.0000 0.5000 0.5000
4 Te 0.2171 0.0000 0.6978
5 Te 0.2447 0.5000 0.2977
6 Te 0.7553 0.5000 0.7023
7 Te 0.7829 0.0000 0.3022
8 Pb 0.5000 0.0000 0.5000

Summary:
* ΔE_f (raw): -802 meV/atom


The following is a DFT calculation (PBE) of crystalline HfVAg at its relaxed geometry.

Cell: 4.9237 3.0383 7.5624 Å, 90.00 108.50 90.00°
Sites, in units of the cell vectors:
1 Hf 0.0000 0.0000 0.0000
2 Hf 0.3608 0.0000 0.7142
3 V 0.7180 0.0000 0.4223
4 V 0.8421 0.5000 0.6742
5 Ag 0.1882 0.5000 0.3632
6 Ag 0.5459 0.5000 0.0940

Summary:
* distance to the lowest polymorph of the same formula: 21 meV/atom
* energy of formation from the pure elements: 0.53 eV per formula unit


The following is a DFT calculation (PBE) of crystalline Ga2MoOs at its relaxed geometry.

Cell: 5.6216 5.6216 5.6216 Å, 103.11 103.11 123.12°
Sites, in units of the cell vectors:
1 Ga 0.1114 0.1250 0.4864
2 Ga 0.3750 0.8886 0.0136
3 Ga 0.6386 0.6250 0.5136
4 Ga 0.8750 0.3614 0.9864
5 Mo 0.2500 0.7500 0.5000
6 Mo 0.5000 0.5000 0.0000
7 Os 0.0000 0.0000 0.0000
8 Os 0.7500 0.2500 0.5000

Summary:
* distance to the lowest polymorph of the same formula: 401 meV/atom
* energy of formation from the pure elements: 2.23 eV per formula unit


The following is a DFT calculation (PBE) of crystalline NbMoRu at its relaxed geometry.

Cell: 5.2456 5.2456 4.5264 Å, 90.00 90.00 129.04°
Sites, in units of the cell vectors:
1 Nb 0.2418 0.7582 0.7500
2 Nb 0.7582 0.2418 0.2500
3 Mo 0.4253 0.5747 0.2500
4 Mo 0.5747 0.4253 0.7500
5 Ru 0.0984 0.9016 0.2500
6 Ru 0.9016 0.0984 0.7500

Summary:
* distance to the lowest polymorph of the same formula: 58 meV/atom
* energy of formation from the pure elements: -0.11 eV per formula unit


The following is a DFT calculation (PBE) of crystalline Te2PCl at its relaxed geometry.

Cell: 5.0778 5.0778 5.0778 Å, 119.61 119.61 90.68°
Sites, in units of the cell vectors:
1 Te 0.0000 0.0000 0.0000
2 Te 0.7500 0.2500 0.5000
3 P 0.2500 0.7500 0.5000
4 Cl 0.5000 0.5000 0.0000

Summary:
* distance to the lowest polymorph of the same formula: 602 meV/atom
* ΔE_f (raw): 507 meV/atom


The following is a DFT calculation (PBE) of crystalline Li2MnCr at its relaxed geometry.

Cell: 4.2232 4.2232 4.2232 Å, 60.00 60.00 60.00°
Sites, in units of the cell vectors:
1 Li 0.2500 0.2500 0.2500
2 Li 0.7500 0.7500 0.7500
3 Mn 0.0000 0.0000 0.0000
4 Cr 0.5000 0.5000 0.5000

Summary:
* distance to the lowest polymorph of the same formula: 591 meV/atom
* energy of formation from the pure elements: 3.45 eV per formula unit


The following is a DFT calculation (PBE) of crystalline NaLiY2Tc at its relaxed geometry.

Cell: 5.3293 5.3293 4.1096 Å, 90.00 90.00 90.00°
Sites, in units of the cell vectors:
1 Na 0.0000 0.0000 0.0000
2 Li 0.0000 0.0000 0.5000
3 Y 0.0000 0.5000 0.5000
4 Y 0.5000 0.0000 0.5000
5 Tc 0.5000 0.5000 0.0000

Summary:
* energy of formation from the pure elements: 4.99 eV per formula unit


The following is a DFT calculation (PBE) of crystalline PrSm3TmSc at its relaxed geometry.

Cell: 9.5671 9.5671 7.2922 Å, 90.02 90.02 35.93°
Sites, in units of the cell vectors:
1 Pr 0.1395 0.1395 0.0003
2 Pr 0.8605 0.8605 0.9997
3 Sm 0.9998 0.9998 0.2829
4 Sm 0.0002 0.0002 0.7171
5 Sm 0.3164 0.3164 0.7501
6 Sm 0.3172 0.3172 0.2502
7 Sm 0.6828 0.6828 0.7498
8 Sm 0.6836 0.6836 0.2499
9 Tm 0.1615 0.1615 0.4994
10 Tm 0.8385 0.8385 0.5006
11 Sc 0.4994 0.4994 0.7573
12 Sc 0.5006 0.5006 0.2427

Summary:
* energy of formation from the pure elements: 1.76 eV per formula unit


The following is a DFT calculation (PBE) of crystalline KLiCu2 at its relaxed geometry.

Cell: 3.1352 4.2398 6.8827 Å, 90.00 101.15 90.00°
Sites, in units of the cell vectors:
1 K 0.0000 0.0000 0.0000
2 Li 0.7474 0.5000 0.4122
3 Cu 0.2967 0.0000 0.5228
4 Cu 0.3685 0.5000 0.6990

Summary:
* distance to the lowest polymorph of the same formula: 156 meV/atom
* energy of formation from the pure elements: 1.23 eV per formula unit


The following is a DFT calculation (PBE) of crystalline Sm2DyTh6 at its relaxed geometry.

Cell: 3.5496 3.5496 27.0823 Å, 90.00 90.00 120.00°
Sites, in units of the cell vectors:
1 Sm 0.0000 0.0000 0.1711
2 Sm 0.0000 0.0000 0.8289
3 Dy 0.3333 0.6667 0.5000
4 Th 0.0000 0.0000 0.3911
5 Th 0.0000 0.0000 0.6089
6 Th 0.3333 0.6667 0.0610
7 Th 0.3333 0.6667 0.2830
8 Th 0.3333 0.6667 0.7170
9 Th 0.3333 0.6667 0.9390

Summary:
* energy of formation from the pure elements: 0.85 eV per formula unit


The following is a DFT calculation (PBE) of crystalline LiPmGeBi at its relaxed geometry.

Cell: 5.2209 5.2209 5.2209 Å, 60.00 60.00 60.00°
Sites, in units of the cell vectors:
1 Li 0.0000 0.0000 0.0000
2 Pm 0.5000 0.5000 0.5000
3 Ge 0.2500 0.2500 0.2500
4 Bi 0.7500 0.7500 0.7500

Summary:
* energy of formation from the pure elements: -1.45 eV per formula unit


no.,spin magnetization (μB per cell)
1,0.00
2,2.00
3,0.00
4,0.00
5,0.00
6,0.00
7,4.26
8,0.55
9,0.52
10,0.00
11,0.00
12,0.00